Entry i
# AcLa3Sm

Crystalline AcLa3Sm at its relaxed geometry (PBE, Alexandria).

POSCAR file:
```
AcLa3Sm
1.0
14.584 0.000 0.000
0.000 7.039 0.000
0.000 0.000 7.413
Ac La Sm
4 12 4
Direct
0.125 0.250 0.000 Ac
0.125 0.250 0.500 Ac
0.875 0.750 0.000 Ac
0.875 0.750 0.500 Ac
0.092 0.746 0.250 La
0.092 0.754 0.750 La
0.317 0.510 0.750 La
0.317 0.990 0.250 La
0.490 0.250 0.000 La
0.490 0.250 0.500 La
0.510 0.750 0.000 La
0.510 0.750 0.500 La
0.683 0.010 0.750 La
0.683 0.490 0.250 La
0.908 0.246 0.250 La
0.908 0.254 0.750 La
0.319 0.501 0.250 Sm
0.319 0.999 0.750 Sm
0.681 0.001 0.250 Sm
0.681 0.499 0.750 Sm
```

Values from the calculation:
- volume (Å³/f.u.) = 190.2
- SG = Pbcm

Entry ii
# AcLa3Sm

Crystalline AcLa3Sm at its relaxed geometry (PBE, Alexandria).

POSCAR file:
```
AcLa3Sm
1.0
3.744 0.000 0.000
0.037 9.626 0.000
0.019 4.777 10.767
Ac La Sm
2 6 2
Direct
0.004 0.197 0.499 Ac
0.996 0.803 0.501 Ac
0.499 0.655 0.822 La
0.499 0.977 0.180 La
0.500 0.420 0.659 La
0.500 0.580 0.341 La
0.501 0.023 0.820 La
0.501 0.345 0.178 La
0.000 0.279 0.941 Sm
0.000 0.721 0.059 Sm
```

Values from the calculation:
- volume (Å³/f.u.) = 194.0
- SG = P-1

Most stable to least stable: entry ii, entry i

Entry i
# AcLa5Sm2

Crystalline AcLa5Sm2 at its relaxed geometry (PBE, Alexandria).

POSCAR file:
```
AcLa5Sm2
1.0
-4.542 4.542 7.234
4.542 -4.542 7.234
4.542 4.542 -7.234
Ac La Sm
2 10 4
Direct
0.250 0.250 0.000 Ac
0.750 0.750 0.000 Ac
0.000 0.000 0.000 La
0.013 0.513 0.201 La
0.188 0.987 0.500 La
0.312 0.812 0.799 La
0.487 0.688 0.500 La
0.500 0.500 0.000 La
0.513 0.312 0.500 La
0.688 0.188 0.201 La
0.812 0.013 0.500 La
0.987 0.487 0.799 La
0.145 0.355 0.500 Sm
0.355 0.855 0.209 Sm
0.645 0.145 0.791 Sm
0.855 0.645 0.500 Sm
```

Values from the calculation:
- volume (Å³/f.u.) = 298.5
- SG = I4/mcm

Entry ii
# AcLa5Sm2

Crystalline AcLa5Sm2 at its relaxed geometry (PBE, Alexandria).

POSCAR file:
```
AcLa5Sm2
1.0
8.425 -5.334 0.000
8.425 5.334 0.000
-0.711 0.000 6.647
Ac La Sm
2 10 4
Direct
0.000 0.500 0.000 Ac
0.500 0.000 0.500 Ac
0.039 0.961 0.250 La
0.063 0.285 0.487 La
0.285 0.063 0.987 La
0.321 0.446 0.362 La
0.446 0.321 0.862 La
0.554 0.679 0.138 La
0.679 0.554 0.638 La
0.715 0.937 0.013 La
0.937 0.715 0.513 La
0.961 0.039 0.750 La
0.215 0.690 0.947 Sm
0.310 0.785 0.553 Sm
0.690 0.215 0.447 Sm
0.785 0.310 0.053 Sm
```

Values from the calculation:
- volume (Å³/f.u.) = 298.7
- SG = C2/c

Most stable to least stable: entry i, entry ii

Entry i
# AcLa2Sm7

Crystalline AcLa2Sm7 at its relaxed geometry (PBE, Alexandria).

POSCAR file:
```
AcLa2Sm7
1.0
4.412 -8.353 0.000
4.412 8.353 0.000
0.000 0.000 5.589
Ac La Sm
1 2 7
Direct
0.000 0.000 0.000 Ac
0.299 0.701 0.500 La
0.701 0.299 0.500 La
0.065 0.297 0.500 Sm
0.227 0.773 0.000 Sm
0.297 0.065 0.500 Sm
0.500 0.500 0.500 Sm
0.703 0.935 0.500 Sm
0.773 0.227 0.000 Sm
0.935 0.703 0.500 Sm
```

Values from the calculation:
- volume (Å³/f.u.) = 412.0
- SG = Cmmm

Entry ii
# AcLa2Sm7

Crystalline AcLa2Sm7 at its relaxed geometry (PBE, Alexandria).

POSCAR file:
```
AcLa2Sm7
1.0
6.358 0.000 0.000
2.079 7.060 0.000
2.172 1.309 7.914
Ac La Sm
1 2 7
Direct
0.000 0.000 0.000 Ac
0.203 0.795 0.598 La
0.797 0.205 0.402 La
0.000 0.500 0.000 Sm
0.199 0.302 0.599 Sm
0.399 0.102 0.202 Sm
0.404 0.597 0.199 Sm
0.596 0.403 0.801 Sm
0.601 0.898 0.798 Sm
0.801 0.698 0.401 Sm
```

Values from the calculation:
- volume (Å³/f.u.) = 355.2
- SG = P-1

Most stable to least stable: entry ii, entry i

Entry i
# Ac2La4Sm3

Crystalline Ac2La4Sm3 at its relaxed geometry (PBE, Alexandria).

POSCAR file:
```
Ac2La4Sm3
1.0
0.000 6.271 8.342
3.263 0.000 8.342
3.263 6.271 0.000
Ac La Sm
2 4 3
Direct
0.115 0.115 0.885 Ac
0.885 0.885 0.115 Ac
0.165 0.461 0.539 La
0.461 0.165 0.835 La
0.539 0.835 0.165 La
0.835 0.539 0.461 La
0.000 0.000 0.500 Sm
0.500 0.500 0.000 Sm
0.500 0.500 0.500 Sm
```

Values from the calculation:
- volume (Å³/f.u.) = 341.4
- SG = Fmmm

Entry ii
# Ac2La4Sm3

Crystalline Ac2La4Sm3 at its relaxed geometry (PBE, Alexandria).

POSCAR file:
```
Ac2La4Sm3
1.0
3.773 0.000 0.000
-1.886 3.267 0.000
0.000 0.000 28.040
Ac La Sm
2 4 3
Direct
0.000 0.000 0.000 Ac
0.000 0.000 0.220 Ac
0.000 0.000 0.352 La
0.000 0.000 0.563 La
0.333 0.667 0.672 La
0.333 0.667 0.884 La
0.000 0.000 0.779 Sm
0.333 0.667 0.112 Sm
0.333 0.667 0.455 Sm
```

Values from the calculation:
- volume (Å³/f.u.) = 345.6
- SG = P3m1

Most stable to least stable: entry ii, entry i

Entry i
# Ac4La5Sm

Crystalline Ac4La5Sm at its relaxed geometry (PBE, Alexandria).

POSCAR file:
```
Ac4La5Sm
1.0
7.397 0.000 0.000
0.000 9.008 0.000
0.000 0.000 12.683
Ac La Sm
8 10 2
Direct
0.000 0.250 0.032 Ac
0.000 0.750 0.968 Ac
0.250 0.008 0.499 Ac
0.250 0.492 0.499 Ac
0.500 0.250 0.032 Ac
0.500 0.750 0.968 Ac
0.750 0.508 0.501 Ac
0.750 0.992 0.501 Ac
0.001 0.069 0.770 La
0.001 0.431 0.770 La
0.250 0.750 0.712 La
0.499 0.069 0.770 La
0.499 0.431 0.770 La
0.501 0.569 0.230 La
0.501 0.931 0.230 La
0.750 0.250 0.288 La
0.999 0.569 0.230 La
0.999 0.931 0.230 La
0.250 0.250 0.279 Sm
0.750 0.750 0.721 Sm
```

Values from the calculation:
- volume (Å³/f.u.) = 422.5
- SG = Pmmn

Entry ii
# Ac4La5Sm

Crystalline Ac4La5Sm at its relaxed geometry (PBE, Alexandria).

POSCAR file:
```
Ac4La5Sm
1.0
8.991 -1.895 0.000
8.991 1.895 0.000
-0.182 0.000 12.068
Ac La Sm
4 5 1
Direct
0.031 0.031 0.248 Ac
0.337 0.337 0.251 Ac
0.663 0.663 0.749 Ac
0.969 0.969 0.752 Ac
0.171 0.171 0.041 La
0.172 0.172 0.455 La
0.500 0.500 0.500 La
0.828 0.828 0.545 La
0.829 0.829 0.959 La
0.500 0.500 0.000 Sm
```

Values from the calculation:
- volume (Å³/f.u.) = 411.2
- SG = C2/m

Most stable to least stable: entry ii, entry i

Entry i
# AcLa2Sm6

Crystalline AcLa2Sm6 at its relaxed geometry (PBE, Alexandria).

POSCAR file:
```
AcLa2Sm6
1.0
8.648 -1.796 0.000
8.648 1.796 0.000
-1.888 0.000 10.354
Ac La Sm
1 2 6
Direct
0.000 0.000 0.000 Ac
0.167 0.167 0.535 La
0.833 0.833 0.465 La
0.008 0.008 0.673 Sm
0.328 0.328 0.123 Sm
0.342 0.342 0.776 Sm
0.658 0.658 0.224 Sm
0.672 0.672 0.877 Sm
0.992 0.992 0.327 Sm
```

Values from the calculation:
- volume (Å³/f.u.) = 321.7
- SG = C2/m

Entry ii
# AcLa2Sm6

Crystalline AcLa2Sm6 at its relaxed geometry (PBE, Alexandria).

POSCAR file:
```
AcLa2Sm6
1.0
-2.257 2.257 18.033
2.257 -2.257 18.033
2.257 2.257 -18.033
Ac La Sm
1 2 6
Direct
0.000 0.000 0.000 Ac
0.330 0.330 0.000 La
0.670 0.670 0.000 La
0.161 0.665 0.000 Sm
0.250 0.750 0.500 Sm
0.335 0.335 0.497 Sm
0.665 0.161 0.000 Sm
0.750 0.250 0.500 Sm
0.839 0.839 0.503 Sm
```

Values from the calculation:
- volume (Å³/f.u.) = 367.3
- SG = I-42m

Most stable to least stable: entry i, entry ii

Entry i
# Ac6LaSm

Crystalline Ac6LaSm at its relaxed geometry (PBE, Alexandria).

POSCAR file:
```
Ac6LaSm
1.0
5.537 0.000 0.000
0.000 5.537 0.000
0.000 0.000 11.078
Ac La Sm
6 1 1
Direct
0.000 0.000 0.000 Ac
0.000 0.000 0.500 Ac
0.000 0.500 0.248 Ac
0.000 0.500 0.752 Ac
0.500 0.000 0.248 Ac
0.500 0.000 0.752 Ac
0.500 0.500 0.500 La
0.500 0.500 0.000 Sm
```

Values from the calculation:
- volume (Å³/f.u.) = 339.7
- SG = P4/mmm

Entry ii
# Ac6LaSm

Crystalline Ac6LaSm at its relaxed geometry (PBE, Alexandria).

POSCAR file:
```
Ac6LaSm
1.0
0.000 5.510 7.854
3.945 0.000 7.854
3.945 5.510 0.000
Ac La Sm
6 1 1
Direct
0.122 0.122 0.378 Ac
0.249 0.249 0.751 Ac
0.378 0.378 0.122 Ac
0.622 0.622 0.878 Ac
0.751 0.751 0.249 Ac
0.878 0.878 0.622 Ac
0.500 0.500 0.500 La
0.000 0.000 0.000 Sm
```

Values from the calculation:
- volume (Å³/f.u.) = 341.4
- SG = Fmmm

Most stable to least stable: entry i, entry ii

Entry i
# Ac2La2Sm7

Crystalline Ac2La2Sm7 at its relaxed geometry (PBE, Alexandria).

POSCAR file:
```
Ac2La2Sm7
1.0
5.792 -6.038 0.000
5.792 6.038 0.000
-2.436 0.000 5.826
Ac La Sm
2 2 7
Direct
0.235 0.235 0.083 Ac
0.765 0.765 0.917 Ac
0.227 0.773 0.000 La
0.773 0.227 0.000 La
0.000 0.000 0.500 Sm
0.068 0.596 0.346 Sm
0.404 0.932 0.654 Sm
0.408 0.408 0.691 Sm
0.592 0.592 0.309 Sm
0.596 0.068 0.346 Sm
0.932 0.404 0.654 Sm
```

Values from the calculation:
- volume (Å³/f.u.) = 407.4
- SG = C2/m

Entry ii
# Ac2La2Sm7

Crystalline Ac2La2Sm7 at its relaxed geometry (PBE, Alexandria).

POSCAR file:
```
Ac2La2Sm7
1.0
-1.873 9.016 6.034
1.873 -9.016 6.034
1.873 9.016 -6.034
Ac La Sm
2 2 7
Direct
0.000 0.000 0.000 Ac
0.719 0.219 0.500 Ac
0.349 0.974 0.375 La
0.599 0.974 0.625 La
0.055 0.215 0.840 Sm
0.166 0.469 0.697 Sm
0.266 0.766 0.500 Sm
0.374 0.215 0.160 Sm
0.537 0.716 0.821 Sm
0.772 0.469 0.303 Sm
0.894 0.716 0.179 Sm
```

Values from the calculation:
- volume (Å³/f.u.) = 407.6
- SG = Imm2

Most stable to least stable: entry ii, entry i

Entry i
# Ac5La4Sm

Crystalline Ac5La4Sm at its relaxed geometry (PBE, Alexandria).

POSCAR file:
```
Ac5La4Sm
1.0
7.453 0.000 0.000
0.000 12.933 0.000
0.000 0.000 8.963
Ac La Sm
10 8 2
Direct
0.002 0.102 0.142 Ac
0.002 0.398 0.142 Ac
0.250 0.750 0.568 Ac
0.498 0.102 0.142 Ac
0.498 0.398 0.142 Ac
0.502 0.602 0.858 Ac
0.502 0.898 0.858 Ac
0.750 0.250 0.432 Ac
0.998 0.602 0.858 Ac
0.998 0.898 0.858 Ac
0.007 0.250 0.764 La
0.250 0.014 0.517 La
0.250 0.486 0.517 La
0.493 0.250 0.764 La
0.507 0.750 0.236 La
0.750 0.514 0.483 La
0.750 0.986 0.483 La
0.993 0.750 0.236 La
0.250 0.250 0.416 Sm
0.750 0.750 0.584 Sm
```

Values from the calculation:
- volume (Å³/f.u.) = 432.0
- SG = Pmmn

Entry ii
# Ac5La4Sm

Crystalline Ac5La4Sm at its relaxed geometry (PBE, Alexandria).

POSCAR file:
```
Ac5La4Sm
1.0
3.881 0.000 0.000
0.000 3.881 0.000
0.000 0.000 26.902
Ac La Sm
5 4 1
Direct
0.000 0.000 0.000 Ac
0.000 0.000 0.201 Ac
0.000 0.000 0.403 Ac
0.000 0.000 0.597 Ac
0.000 0.000 0.799 Ac
0.500 0.500 0.101 La
0.500 0.500 0.303 La
0.500 0.500 0.697 La
0.500 0.500 0.899 La
0.500 0.500 0.500 Sm
```

Values from the calculation:
- volume (Å³/f.u.) = 405.2
- SG = P4/mmm

Most stable to least stable: entry ii, entry i

Entry i
# Ac2La3Sm2

Crystalline Ac2La3Sm2 at its relaxed geometry (PBE, Alexandria).

POSCAR file:
```
Ac2La3Sm2
1.0
3.804 0.000 0.000
-1.900 6.229 0.000
-0.010 -1.091 11.289
Ac La Sm
2 3 2
Direct
0.216 0.432 0.351 Ac
0.784 0.568 0.649 Ac
0.356 0.716 0.934 La
0.500 0.000 0.500 La
0.644 0.284 0.066 La
0.069 0.137 0.789 Sm
0.931 0.863 0.211 Sm
```

Values from the calculation:
- volume (Å³/f.u.) = 267.4
- SG = P-1

Entry ii
# Ac2La3Sm2

Crystalline Ac2La3Sm2 at its relaxed geometry (PBE, Alexandria).

POSCAR file:
```
Ac2La3Sm2
1.0
9.253 -1.852 0.000
9.253 1.852 0.000
-4.334 0.000 7.875
Ac La Sm
2 3 2
Direct
0.066 0.066 0.228 Ac
0.934 0.934 0.772 Ac
0.285 0.285 0.363 La
0.500 0.500 0.500 La
0.715 0.715 0.637 La
0.349 0.349 0.040 Sm
0.651 0.651 0.960 Sm
```

Values from the calculation:
- volume (Å³/f.u.) = 269.9
- SG = C2/m

Most stable to least stable: entry i, entry ii